(1)
Entry from Alexandria: an optimized crystal structure of K3MnRe (GGA-PBE).

Unit cell a=6.4349 b=6.4349 c=6.4349 alpha=90.00 beta=90.00 gamma=90.00
Last column: nearest neighbours and their distance in Å.
Space group Pm-3m (No. 221)
Inequivalent atoms, fractional coordinates:
K 0.0000 0.0000 0.5000  2 Mn 3.22
Mn 0.0000 0.0000 0.0000  6 K 3.22
Re 0.5000 0.5000 0.5000  12 K 4.55

Computed properties:
- polymorph energy (0 for the lowest one) (eV per atom) = 0.0000
- formation enthalpy at 0 K (meV/atom) = 1986.1
- M_tot (Bohr magnetons per cell) = 8.99
- final energy (eV/atom) = -2.9959
- DOS at the Fermi energy (states/eV/atom) = 6.735

=====

(2)
Entry from Alexandria: an optimized crystal structure of Ti3AgPt (GGA-PBE).

Unit cell a=4.7464 b=4.7464 c=4.7464 alpha=90.00 beta=90.00 gamma=90.00
Last column: nearest neighbours and their distance in Å.
Space group Pm-3m (No. 221)
Inequivalent atoms, fractional coordinates:
Ti 0.0000 0.0000 0.5000  2 Ag 2.37
Ag 0.0000 0.0000 0.0000  6 Ti 2.37
Pt 0.5000 0.5000 0.5000  12 Ti 3.36

Computed properties:
- polymorph energy (0 for the lowest one) (eV per atom) = 0.6653
- formation enthalpy at 0 K (meV/atom) = 1060.1
- M_tot (Bohr magnetons per cell) = 0.00
- final energy (eV/atom) = -5.4552
- DOS at the Fermi energy (states/eV/atom) = 2.241

=====

(3)
Entry from Alexandria: an optimized crystal structure of CdNiW2 (GGA-PBE).

Unit cell a=9.8382 b=2.9120 c=4.5594 alpha=90.00 beta=104.63 gamma=90.00
Last column: nearest neighbours and their distance in Å.
Space group C2/m (No. 12)
Inequivalent atoms, fractional coordinates:
Cd 0.0000 0.0000 0.0000  4 Ni 2.70, 6 W 2.89-2.94, 2 Cd 2.91
Ni 0.0000 0.5000 0.5000  4 Cd 2.70, 4 W 2.73, 2 Ni 2.91
W 0.2376 0.0000 0.7359  6 W 2.66-2.91, 2 Ni 2.73, 3 Cd 2.89-2.94

Computed properties:
- formation enthalpy at 0 K (meV/atom) = 425.9
- M_tot (Bohr magnetons per cell) = 0.00
- final energy (eV/atom) = -7.7248
- DOS at the Fermi energy (states/eV/atom) = 0.812

=====

(4)
Entry from Alexandria: an optimized crystal structure of Pr12Cd6Sn (GGA-PBE).

Unit cell a=11.6919 b=11.6919 c=14.8162 alpha=90.00 beta=90.00 gamma=120.00
Last column: nearest neighbours and their distance in Å.
Space group R-3 (No. 148, hexagonal axes)
Inequivalent atoms, fractional coordinates:
Pr 0.0329 0.8408 0.3186  4 Pr 3.25-3.60, 4 Cd 3.38-3.64, 1 Sn 3.40
Pr 0.0671 0.2127 0.9062  4 Cd 3.32-3.69, 5 Pr 3.39-3.66
Cd 0.0344 0.5921 0.2033  1 Sn 3.20, 6 Pr 3.32-3.46, 2 Cd 3.33
Sn 0.0000 0.0000 0.5000  6 Cd 3.20, 6 Pr 3.40

Computed properties:
- formation enthalpy at 0 K (meV/atom) = -164.8
- M_tot (Bohr magnetons per cell) = 0.01
- final energy (eV/atom) = -3.6831
- DOS at the Fermi energy (states/eV/atom) = 1.180